1.
4
Lattice="2.735 -1.304 3.083 -1.031 -3.351 2.528 2.103 -3.753 -0.422" Properties=species:S:1:pos:R:3 comment="PBE MgCuSiPd, relaxed" e_above_lowest_polymorph_mev_per_atom=0 sg="F-43m (216)" pbc="T T T"
Mg 1.903 -4.204 2.594
Cu 2.855 -6.306 3.891
Pd 0.952 -2.102 1.297
Si 0.000 0.000 0.000

=====

2.
9
Lattice="-7.156 -1.201 -2.730 3.042 -4.893 5.188 -1.508 2.218 2.976" Properties=species:S:1:pos:R:3 comment="PBE Y3Mg3TlCuPd, relaxed" final_energy_ha_per_atom=-0.1595 sg="P-6 (174)" pbc="T T T"
Tl -1.111 -2.553 4.037
Y -1.803 -2.437 0.903
Y -4.254 -0.849 -1.523
Y -5.213 -4.010 0.348
Cu 0.000 0.000 0.000
Mg -3.879 -3.527 3.360
Mg 0.574 -4.067 6.019
Mg -0.030 -0.066 2.730
Pd -4.511 -1.323 1.397

=====

3.
10
Lattice="7.747 0.000 0.000 0.000 7.747 0.000 0.000 0.000 3.819" Properties=species:S:1:pos:R:3 comment="PBE Pm2MgCu2, relaxed" final_energy_ha_per_atom=-0.1434 sg="P4/mbm (127)" pbc="T T T"
Cu 6.797 4.823 0.000
Cu 4.823 0.950 0.000
Cu 2.923 6.797 0.000
Cu 0.950 2.923 0.000
Pm 5.188 6.433 1.909
Pm 2.559 1.314 1.909
Pm 6.433 2.559 1.909
Pm 1.314 5.188 1.909
Mg 3.873 3.873 0.000
Mg 0.000 0.000 0.000

=====

4.
6
Lattice="-2.542 -4.467 0.330 0.874 -3.174 3.961 -3.603 -0.651 3.622" Properties=species:S:1:pos:R:3 comment="PBE PmMgCu4, relaxed" final_energy_ha_per_atom=-0.1372 sg="F-43m (216)" pbc="T T T"
Pm -3.954 -6.220 5.935
Cu -3.796 -3.425 4.791
Cu -1.524 -4.705 4.963
Cu -3.257 -5.361 3.120
Cu -1.967 -3.094 2.953
Mg 0.000 0.000 0.000

=====

5.
10
Lattice="7.831 0.000 0.000 0.000 7.831 0.000 0.000 0.000 3.881" Properties=species:S:1:pos:R:3 comment="PBE Pr2MgCu2, relaxed" final_energy_ha_per_atom=-0.1429 sg="P4/mbm (127)" pbc="T T T"
Cu 4.868 6.879 0.000
Cu 6.879 2.963 0.000
Cu 2.963 0.953 0.000
Cu 0.953 4.868 0.000
Pr 6.497 5.250 1.940
Pr 2.581 6.497 1.940
Pr 5.250 1.334 1.940
Pr 1.334 2.581 1.940
Mg 0.000 0.000 0.000
Mg 3.916 3.916 0.000

=====

6.
12
Lattice="-1.931 3.450 5.277 -1.797 -2.500 -5.831 -3.068 -9.191 4.887" Properties=species:S:1:pos:R:3 comment="PBE PrMgCuSe2S, relaxed" final_energy_ha_per_atom=-0.1718 sg="Cmcm (63)" pbc="T T T"
S -2.577 -4.240 -3.566
S -4.219 -4.002 7.899
Cu -4.167 -6.315 3.582
Cu -2.629 -1.926 0.752
Mg -4.131 -7.914 0.597
Mg -2.665 -0.328 3.736
Se -2.119 -1.281 -1.576
Se -4.678 -6.961 5.909
Se -3.694 -4.015 4.343
Se -3.102 -4.227 -0.010
Pr -1.534 -4.596 2.444
Pr 0.000 0.000 0.000

=====

7.
12
Lattice="-4.585 3.805 2.751 3.638 -5.434 0.561 7.817 5.756 5.067" Properties=species:S:1:pos:R:3 comment="PBE PrMgCuSeS2, relaxed" final_energy_ha_per_atom=-0.1780 sg="Cmcm (63)" pbc="T T T"
Mg 3.795 -1.975 2.306
Mg 3.075 6.103 6.072
S 7.811 3.055 5.929
S 1.502 2.873 4.034
S -0.941 1.073 2.450
S 5.367 1.255 4.345
Pr 3.909 2.878 2.533
Pr 0.000 0.000 0.000
Se -1.748 4.252 3.782
Se 8.618 -0.124 4.596
Cu 1.304 0.823 2.970
Cu 5.566 3.305 5.409

=====

8.
12
Lattice="1.138 1.802 -6.576 -4.481 -0.346 5.252 3.134 10.236 3.347" Properties=species:S:1:pos:R:3 comment="PBE PrMgCuTeS2, relaxed" final_energy_ha_per_atom=-0.1720 sg="Cmcm (63)" pbc="T T T"
Cu -2.037 7.367 7.564
Cu 1.827 4.325 -5.541
S -1.856 6.049 5.657
S 0.684 2.501 -4.661
S 1.646 5.643 -3.634
S -0.894 9.191 6.685
Pr -0.105 5.846 1.012
Pr -1.672 0.728 -0.662
Mg -1.986 2.868 2.486
Mg 1.777 8.825 -0.463
Te -0.217 3.544 -1.238
Te 0.007 8.148 3.262

=====

9.
12
Lattice="6.437 -1.967 0.000 6.437 1.967 0.000 0.000 0.000 11.091" Properties=species:S:1:pos:R:3 comment="PBE PrMgCuSe3, relaxed" final_energy_ha_per_atom=-0.1671 sg="Cmcm (63)" pbc="T T T"
Cu 6.148 0.000 8.318
Cu 6.726 0.000 2.773
Se 11.582 0.000 2.773
Se 8.406 0.000 4.565
Se 4.469 0.000 6.526
Se 1.292 0.000 8.318
Se 4.469 0.000 10.110
Se 8.406 0.000 0.981
Mg 9.898 0.000 8.318
Mg 2.977 0.000 2.773
Pr 0.000 0.000 5.545
Pr 0.000 0.000 0.000

=====

10.
12
Lattice="1.991 -6.701 0.000 1.991 6.701 0.000 0.000 0.000 11.334" Properties=species:S:1:pos:R:3 comment="PBE PrMgCuTeSe2, relaxed" final_energy_ha_per_atom=-0.1615 sg="Cmcm (63)" pbc="T T T"
Se 1.991 4.752 0.986
Se 1.991 4.752 4.681
Se 1.991 -4.752 10.348
Se 1.991 -4.752 6.653
Pr 1.991 0.000 5.667
Pr 1.991 0.000 0.000
Mg 1.991 2.776 8.500
Mg 1.991 -2.776 2.833
Cu 1.991 -6.391 8.500
Cu 1.991 6.391 2.833
Te 1.991 1.486 2.833
Te 1.991 -1.486 8.500

=====

11.
12
Lattice="2.092 -6.996 0.000 2.092 6.996 0.000 0.000 0.000 11.678" Properties=species:S:1:pos:R:3 comment="PBE PrMgCuTe3, relaxed" final_energy_ha_per_atom=-0.1487 sg="Cmcm (63)" pbc="T T T"
Pr 0.000 0.000 5.839
Pr 0.000 0.000 0.000
Te 2.092 2.148 10.694
Te 2.092 -5.602 2.920
Te 2.092 2.148 6.823
Te 2.092 -2.148 0.984
Te 2.092 5.602 8.759
Te 2.092 -2.148 4.855
Mg 2.092 3.805 2.920
Mg 2.092 -3.805 8.759
Cu 2.092 0.331 8.759
Cu 2.092 -0.331 2.920

=====

12.
8
Lattice="4.593 0.000 0.000 0.000 4.593 0.000 0.000 0.000 6.498" Properties=species:S:1:pos:R:3 comment="PBE Mg2Sc2Zn2CuPt, relaxed" final_energy_ha_per_atom=-0.1471 sg="P-4m2 (115)" pbc="T T T"
Pt 2.296 2.296 3.249
Sc 0.000 2.296 1.626
Sc 2.296 0.000 4.873
Zn 2.296 2.296 0.000
Zn 0.000 0.000 3.249
Mg 2.296 0.000 1.624
Mg 0.000 2.296 4.875
Cu 0.000 0.000 0.000